Entry from Alexandria: CsVRhO4 after structural relaxation (GGA+U).

Summary:
energy: -88.67 eV/cell
calculated volume: 252.4 Å³ per cell
SG: P2_1/m

Lattice parameters (Å, degrees): 5.2248 6.1124 7.9755 90.00 97.65 90.00
Sites, in units of the cell vectors:
Cs  0.2061  0.2500  0.1136
Cs  0.7939  0.7500  0.8864
V  0.3330  0.2500  0.6537
V  0.6670  0.7500  0.3463
Rh  0.1948  0.7500  0.4243
Rh  0.8052  0.2500  0.5757
O  0.1326  0.0256  0.6781
O  0.1326  0.4744  0.6781
O  0.3697  0.7500  0.2022
O  0.4528  0.2500  0.4538
O  0.5472  0.7500  0.5462
O  0.6303  0.2500  0.7978
O  0.8674  0.5256  0.3219
O  0.8674  0.9744  0.3219